# 1
Compound: CrCoSeN2
Source: Alexandria via LeMat-Bulk
Functional: GGA-PBE
Structure: optimized geometry

The value obtained for the energy above the most stable polymorph in this dataset is 0.000 eV per atom. The energy is -6.725 eV/atom. The formation energy without anion corrections comes out at 648 meV/atom.

Unit cell a=3.603 b=3.603 c=5.320 alpha=90.00 beta=90.00 gamma=90.00
Space group P4/mmm (No. 123)
Unique sites:
Cr 0.000 0.000 0.000 (multiplicity 1)
Co 0.500 0.500 0.500 (multiplicity 1)
Se 0.000 0.000 0.500 (multiplicity 1)
N 0.000 0.500 0.000 (multiplicity 2)


# 2
Compound: Cr2CoSnN
Source: Alexandria via LeMat-Bulk
Functional: GGA-PBE
Structure: optimized geometry

The energy is -7.872 eV/atom. The formation energy without anion corrections comes out at -136 meV/atom.

Unit cell a=3.899 b=3.899 c=3.947 alpha=90.00 beta=90.00 gamma=90.00
Space group P4/mmm (No. 123)
Unique sites:
Cr 0.000 0.500 0.000 (multiplicity 2)
Co 0.000 0.000 0.500 (multiplicity 1)
Sn 0.500 0.500 0.500 (multiplicity 1)
N 0.000 0.000 0.000 (multiplicity 1)


# 3
Compound: CrCoTe2N
Source: Alexandria via LeMat-Bulk
Functional: GGA-PBE
Structure: optimized geometry

The value obtained for the energy above the most stable polymorph in this dataset is 0.000 eV per atom. The energy is -5.899 eV/atom. The formation energy without anion corrections comes out at 369 meV/atom.

Unit cell a=5.296 b=5.296 c=3.392 alpha=90.00 beta=90.00 gamma=90.00
Space group P4/mmm (No. 123)
Unique sites:
Cr 0.000 0.000 0.000 (multiplicity 1)
Co 0.500 0.500 0.500 (multiplicity 1)
Te 0.000 0.500 0.500 (multiplicity 2)
N 0.500 0.500 0.000 (multiplicity 1)